A geometry-optimized BeNbNi structure. Source: Alexandria, functional GGA-PBE.

The structure in extended XYZ format:
```
18
Lattice="3.3388 0.0000 0.0000 0.0000 6.2001 0.0213 0.0000 0.0172 10.6159" Properties=species:S:1:pos:R:3 pbc="T T T"
Ni 2.5041 0.0521 9.6306
Nb 2.5041 3.2783 4.0816
Be 2.5041 1.7154 7.9741
Nb 2.5041 4.0293 0.8452
Be 0.8347 4.7859 9.7655
Be 0.8347 4.5019 2.6630
Nb 0.8347 2.1880 9.7919
Be 2.5041 1.4313 0.8716
Ni 2.5041 0.8802 5.7708
Be 0.8347 1.4432 4.4455
Ni 0.8347 5.3370 4.8663
Nb 2.5041 0.1453 3.0737
Nb 0.8347 6.0719 7.5635
Be 2.5041 4.7740 6.1916
Ni 0.8347 6.1651 1.0065
Ni 2.5041 4.0062 8.4510
Nb 0.8347 2.9389 6.5555
Ni 0.8347 2.2110 2.1861
```

Excess energy over the best structure of this formula in the dataset = 0.000 eV/atom
Formation energy = -0.3147 eV per atom